1.
A plane-wave DFT calculation with PBE-GGA was carried out for an optimized crystal structure of Cs2K2RbNa2.

Cell: 4.9473 4.9473 25.8180 Å, 90.00 90.00 120.00°
Space group P-3m1 (No. 164)
One atom of each set of equivalent atoms:
Cs 0.0000 0.0000 0.1848 x2
K 0.3333 0.6667 0.6542 x2
Rb 0.0000 0.0000 0.0000 x1
Na 0.3333 0.6667 0.4596 x2

Computed properties:
- ΔE_f: 0.07 eV/atom

2.
A plane-wave DFT calculation with PBE-GGA was carried out for an optimized crystal structure of VSn2AsIr.

Cell: 5.123 5.123 4.442 Å, 90.00 90.00 90.00°
Space group P4/mmm (No. 123)
One atom of each set of equivalent atoms:
V 0.000 0.000 0.000 x1
Sn 0.000 0.500 0.500 x2
As 0.000 0.000 0.500 x1
Ir 0.500 0.500 0.000 x1

Computed properties:
- ΔE_f: 1.17 eV/atom

3.
A plane-wave DFT calculation with PBE-GGA was carried out for an optimized crystal structure of MgAgP.

Cell: 4.294 6.320 4.293 Å, 90.00 90.00 90.00°
Space group Pmm2 (No. 25)
One atom of each set of equivalent atoms:
Mg 0.000 0.250 0.000 x2
Ag 0.500 0.250 0.501 x2
P 0.000 0.000 0.500 x1
P 0.500 0.500 0.001 x1

Computed properties:
- ΔE_f: -0.27 eV/atom

4.
A plane-wave DFT calculation with PBE-GGA was carried out for an optimized crystal structure of Tl2TeI7.

Cell: 9.183 9.804 11.689 Å, 75.65 87.45 75.79°
Space group P-1 (No. 2)
One atom of each set of equivalent atoms:
Tl 0.178 0.244 0.000 x2
Tl 0.178 0.762 0.607 x2
Te 0.226 0.655 0.253 x2
I 0.013 0.443 0.197 x2
I 0.033 0.143 0.672 x2
I 0.172 0.810 0.998 x2
I 0.272 0.475 0.495 x2
I 0.426 0.861 0.262 x2
I 0.468 0.155 0.246 x2
I 0.482 0.525 0.808 x2

Computed properties:
- Energy relative to the elements, uncorrected: -0.2538 eV per atom

5.
A plane-wave DFT calculation with PBE-GGA was carried out for an optimized crystal structure of Pm12Nd6Mg.

Cell: 13.2802 13.2802 13.1934 Å, 90.00 90.00 120.00°
Space group R-3m (No. 166, hexagonal axes)
One atom of each set of equivalent atoms:
Pm 0.0000 0.2617 0.0000 x18
Pm 0.0588 0.5294 0.1117 x18
Nd 0.0906 0.1813 0.7743 x18
Mg 0.0000 0.0000 0.0000 x3

Computed properties:
- ΔE_f: 0.12 eV/atom

6.
A plane-wave DFT calculation with PBE-GGA was carried out for an optimized crystal structure of NiW2Au.

Cell: 3.450 4.237 8.394 Å, 90.00 90.00 90.00°
Space group Cmm2 (No. 35)
One atom of each set of equivalent atoms:
Ni 0.000 0.000 0.000 x2
W 0.000 0.000 0.519 x2
W 0.000 0.500 0.784 x2
Au 0.000 0.500 0.248 x2

Computed properties:
- Offset from the most stable computed form: 0.0000 eV/atom
- ΔE_f: 0.17 eV/atom